No. 1
Compound: Fe4Rh
Source: the Alexandria database
Functional: SCAN
Structure: single point on PBEsol structure Values from VASP.

Values from the calculation:
Polymorph energy (0 for the lowest one) in eV/atom: 0.164
Theoretical density in kg/m3: 9237
Calculated formation energy in eV/atom: 0.008
Space-group type: No. 166
Total magnetic moment in Bohr magnetons per cell: 11.6
Crystal system: trigonal

The structure in Quantum ESPRESSO input format:
```
&SYSTEM
  ibrav = 0, nat = 5, ntyp = 2
/
ATOMIC_SPECIES
Fe 55.84 Fe.upf
Rh 102.91 Rh.upf
ATOMIC_POSITIONS angstrom
Fe 0.0000 0.0000 2.8837
Fe 0.0000 0.0000 9.0064
Fe 0.0000 0.0000 20.8422
Fe 0.0000 0.0000 26.9649
Rh 0.0000 0.0000 14.9243
CELL_PARAMETERS angstrom
1.3045 0.7532 9.9495
-1.3045 0.7532 9.9495
0.0000 -1.5063 9.9495
```

No. 2
Compound: Fe5Rh
Source: the Alexandria database
Functional: SCAN
Structure: single point on PBEsol structure Values from VASP.

Values from the calculation:
Polymorph energy (0 for the lowest one) in eV/atom: 0.000
Theoretical density in kg/m3: 9035
Calculated formation energy in eV/atom: -0.140
Space-group type: No. 164
Total magnetic moment in Bohr magnetons per cell: 14.5
Crystal system: trigonal

The structure in Quantum ESPRESSO input format:
```
&SYSTEM
  ibrav = 0, nat = 6, ntyp = 2
/
ATOMIC_SPECIES
Fe 55.84 Fe.upf
Rh 102.91 Rh.upf
ATOMIC_POSITIONS angstrom
Fe 0.0000 0.0000 0.0000
Fe 0.0000 2.3333 1.6027
Fe 0.0000 2.3333 4.1494
Fe 2.0207 1.1667 0.8158
Fe 2.0207 1.1667 3.3625
Rh 0.0000 0.0000 2.4826
CELL_PARAMETERS angstrom
4.0415 0.0000 0.0000
-2.0207 3.5000 0.0000
0.0000 0.0000 4.9652
```

- The lowest total magnetic moment belongs to which entry?
  Fe4Rh